No. 1
A relaxed Cs3Ni2Br8 crystal. Source: Alexandria via LeMat-Bulk, functional GGA-PBE.

Properties
Formation energy (no corrections): -984 meV per atom

Geometry as POSCAR:
```
Cs3Ni2Br8
1.0
7.144 0.000 2.699
3.062 6.454 2.699
-0.095 -0.060 11.055
Cs Ni Br
3 2 8
Cartesian
0.000 0.000 0.000 Cs
2.137 1.351 5.148 Cs
7.974 5.043 11.305 Cs
4.130 2.612 10.677 Ni
5.981 3.783 5.777 Ni
3.324 2.102 12.810 Br
6.787 4.292 3.643 Br
4.215 4.954 10.452 Br
6.283 1.684 10.452 Br
2.664 1.684 9.085 Br
3.828 4.710 6.001 Br
5.896 1.440 6.001 Br
7.448 4.710 7.368 Br
```

No. 2
A relaxed CuReSe2 crystal. Source: Alexandria via LeMat-Bulk, functional GGA-PBE.

Properties
E above lowest polymorph: 46 meV/atom
Formation energy (no corrections): 225 meV per atom

Geometry as POSCAR:
```
CuReSe2
1.0
1.904 0.000 8.052
-0.952 1.649 8.052
-0.952 -1.649 8.052
Re Cu Se
1 1 2
Cartesian
0.000 0.000 12.078 Re
0.000 0.000 0.000 Cu
0.000 0.000 21.823 Se
0.000 0.000 2.332 Se
```

No. 3
A relaxed Ge2SbTe3 crystal. Source: Alexandria via LeMat-Bulk, functional GGA-PBE.

Properties
Formation energy (no corrections): -5 meV per atom

Geometry as POSCAR:
```
Ge2SbTe3
1.0
4.115 0.000 -1.166
-0.647 5.707 -2.284
-0.104 -0.366 7.479
Ge Sb Te
2 1 3
Cartesian
2.593 0.816 1.305 Ge
0.772 4.525 2.724 Ge
-0.324 2.854 -1.142 Sb
1.064 1.623 3.754 Te
0.000 0.000 0.000 Te
2.301 3.718 0.275 Te
```

> Among the records above, which one has the highest formation energy (no corrections)?

CuReSe2

> formation energy (no corrections) of number 3 (Ge2SbTe3)?

-5 meV per atom

Copy entry 3 word for word.
A relaxed Ge2SbTe3 crystal. Source: Alexandria via LeMat-Bulk, functional GGA-PBE.

Properties
Formation energy (no corrections): -5 meV per atom

Geometry as POSCAR:
```
Ge2SbTe3
1.0
4.115 0.000 -1.166
-0.647 5.707 -2.284
-0.104 -0.366 7.479
Ge Sb Te
2 1 3
Cartesian
2.593 0.816 1.305 Ge
0.772 4.525 2.724 Ge
-0.324 2.854 -1.142 Sb
1.064 1.623 3.754 Te
0.000 0.000 0.000 Te
2.301 3.718 0.275 Te
```

> Which value of formation energy (no corrections) does entry 2 give?

225 meV per atom